P.
Tl2CrCd after structural relaxation. Source: Alexandria via LeMat-Bulk, functional PBE.

The space group is F-43m (No. 216) and the conventional cell measures 7.3407, 7.3407 and 7.3407 Å, with angles of 90.00, 90.00 and 90.00 degrees. Symmetry generates all atoms from Tl at (0.0000, 0.0000, 0.0000), Tl at (0.2500, 0.2500, 0.2500), Cr at (0.2500, 0.2500, 0.7500) and Cd at (0.0000, 0.0000, 0.5000).

Q.
Tl2CrCd after structural relaxation. Source: Alexandria via LeMat-Bulk, functional PBE.

The space group is I-4m2 (No. 119) and the conventional cell measures 4.4886, 4.4886 and 9.5750 Å, with angles of 90.00, 90.00 and 90.00 degrees. Symmetry generates all atoms from Tl at (0.0000, 0.0000, 0.0000), Tl at (0.0000, 0.5000, 0.2500), Cr at (0.0000, 0.0000, 0.5000) and Cd at (0.0000, 0.5000, 0.7500).

Stability, descending: Q, P

P.
Tl2CrCd after structural relaxation. Source: Alexandria via LeMat-Bulk, functional PBE.

The space group is Cm (No. 8) and the conventional cell measures 13.8275, 3.1435 and 4.8508 Å, with angles of 90.00, 110.46 and 90.00 degrees. Symmetry generates all atoms from Tl at (0.0000, 0.0000, 0.0000), Tl at (0.2066, 0.0000, 0.7071), Cr at (0.2005, 0.5000, 0.2010) and Cd at (0.3895, 0.0000, 0.3898).

Q.
Tl2CrCd after structural relaxation. Source: Alexandria via LeMat-Bulk, functional PBE.

The space group is C2/m (No. 12) and the conventional cell measures 6.4802, 10.2646 and 3.3383 Å, with angles of 90.00, 116.76 and 90.00 degrees. Symmetry generates all atoms from Tl at (0.2500, 0.2500, 0.0000), Cr at (0.0000, 0.0000, 0.5000) and Cd at (0.0000, 0.5000, 0.5000).

Stability, descending: P, Q

P.
Tm2CrCd after structural relaxation. Source: Alexandria via LeMat-Bulk, functional PBE.

The space group is P4/mmm (No. 123) and the conventional cell measures 3.4870, 3.4870 and 7.6681 Å, with angles of 90.00, 90.00 and 90.00 degrees. Symmetry generates all atoms from Tm at (0.0000, 0.0000, 0.2249), Cr at (0.5000, 0.5000, 0.0000) and Cd at (0.5000, 0.5000, 0.5000).

Q.
Tm2CrCd after structural relaxation. Source: Alexandria via LeMat-Bulk, functional PBE.

The space group is Fm-3m (No. 225) and the conventional cell measures 7.2376, 7.2376 and 7.2376 Å, with angles of 90.00, 90.00 and 90.00 degrees. Symmetry generates all atoms from Tm at (0.2500, 0.2500, 0.2500), Cr at (0.0000, 0.0000, 0.0000) and Cd at (0.0000, 0.0000, 0.5000).

Stability, descending: P, Q